# 1
Below is HfSbMo2 after structural relaxation, with properties calculated at the PBE level.

## Properties
**E_tot**: -8.7400 eV/atom
**SG**: F-43m

abc: 4.681 4.681 4.681
angles: 60.00 60.00 60.00
Fractional coordinates of all 4 atoms:
Hf  0.000  0.000  0.000
Sb  0.750  0.750  0.750
Mo  0.250  0.250  0.250
Mo  0.500  0.500  0.500



# 2
Below is Mo4Pb2CN after structural relaxation, with properties calculated at the PBE level.

## Properties
**E_tot**: -8.3426 eV/atom
**SG**: P-3m1

abc: 3.272 3.272 13.532
angles: 90.00 90.00 120.00
Fractional coordinates of all 8 atoms:
Mo  0.333  0.667  0.078
Mo  0.333  0.667  0.427
Mo  0.667  0.333  0.573
Mo  0.667  0.333  0.922
Pb  0.333  0.667  0.749
Pb  0.667  0.333  0.251
C  0.000  0.000  0.000
N  0.000  0.000  0.500



# 3
Below is Nd12Ni6Hg after structural relaxation, with properties calculated at the PBE level.

## Properties
**Formation energy from the elements**: -0.272 eV/atom
**E_tot**: -5.0542 eV/atom
**SG**: Im-3

abc: 8.680 8.680 8.680
angles: 109.47 109.47 109.47
Fractional coordinates of all 19 atoms:
Nd  0.120  0.305  0.814
Nd  0.186  0.491  0.305
Nd  0.186  0.880  0.695
Nd  0.305  0.186  0.491
Nd  0.305  0.814  0.120
Nd  0.491  0.305  0.186
Nd  0.509  0.695  0.814
Nd  0.695  0.186  0.880
Nd  0.695  0.814  0.509
Nd  0.814  0.120  0.305
Nd  0.814  0.509  0.695
Nd  0.880  0.695  0.186
Ni  0.122  0.500  0.622
Ni  0.378  0.878  0.500
Ni  0.500  0.378  0.878
Ni  0.500  0.622  0.122
Ni  0.622  0.122  0.500
Ni  0.878  0.500  0.378
Hg  0.000  0.000  0.000



# 4
Below is Tb2DyBi3 after structural relaxation, with properties calculated at the PBE level.

## Properties
**E_tot**: -5.2232 eV/atom
**SG**: P-3m1

abc: 4.462 4.462 11.005
angles: 90.00 90.00 120.00
Fractional coordinates of all 6 atoms:
Tb  0.333  0.667  0.333
Tb  0.667  0.333  0.667
Dy  0.000  0.000  0.000
Bi  0.000  0.000  0.500
Bi  0.333  0.667  0.833
Bi  0.667  0.333  0.167



What did the second record say?
Below is Mo4Pb2CN after structural relaxation, with properties calculated at the PBE level.

## Properties
**E_tot**: -8.3426 eV/atom
**SG**: P-3m1

abc: 3.272 3.272 13.532
angles: 90.00 90.00 120.00
Fractional coordinates of all 8 atoms:
Mo  0.333  0.667  0.078
Mo  0.333  0.667  0.427
Mo  0.667  0.333  0.573
Mo  0.667  0.333  0.922
Pb  0.333  0.667  0.749
Pb  0.667  0.333  0.251
C  0.000  0.000  0.000
N  0.000  0.000  0.500